## Cs4ErBr7 (GGA-PBE)

Data for a relaxed Cs4ErBr7 crystal.

Results
**Raw total energy**: -3.2514 eV/atom
**M_tot**: 0.18 μB per formula unit
**Crystal system**: monoclinic
**Formation energy (no corrections)**: -1611 meV/atom

a = 9.7855 Å, b = 9.7855 Å, c = 14.2075 Å
α = 126.38°, β = 126.38°, γ = 32.67°
Closest atoms and distances in Å follow each position.
Fractional positions:
Cs  0.1100  0.1100  0.2614  5 Br 3.65-3.95
Cs  0.2314  0.2314  0.8622  6 Br 3.47-3.88
Cs  0.7686  0.7686  0.1378  6 Br 3.47-3.88
Cs  0.8900  0.8900  0.7386  5 Br 3.65-3.95
Er  0.5000  0.5000  0.5000  4 Br 2.65-2.75
Br  0.0000  0.0000  0.5000  2 Er 2.75
Br  0.1254  0.1254  0.0101  5 Cs 3.47-3.76
Br  0.2259  0.2259  0.6068  1 Br 3.51, 3 Cs 3.57-3.67
Br  0.4536  0.4536  0.2821  1 Er 2.65
Br  0.5464  0.5464  0.7179  1 Er 2.65
Br  0.7741  0.7741  0.3932  1 Br 3.51, 3 Cs 3.57-3.67
Br  0.8746  0.8746  0.9899  5 Cs 3.47-3.76